A plane-wave DFT calculation with GGA-PBE was carried out for crystalline Ca3Ge2Pt2 at its relaxed geometry.

## Properties
energy = -134.6 eV/cell
V = 627.2 Å³ per cell
total magnetic moment = 0.000 μB per formula unit
calculated formation energy = -0.9031 eV per atom

a = 5.679 Å, b = 8.211 Å, c = 13.450 Å
α = 90.00°, β = 90.00°, γ = 90.00°
Positions (direct):
1 Ca 0.137 0.613 0.104
2 Ca 0.863 0.387 0.604
3 Ca 0.863 0.113 0.396
4 Ca 0.137 0.887 0.896
5 Ca 0.863 0.387 0.896
6 Ca 0.137 0.613 0.396
7 Ca 0.137 0.887 0.604
8 Ca 0.863 0.113 0.104
9 Ca 0.361 0.253 0.250
10 Ca 0.639 0.747 0.750
11 Ca 0.639 0.753 0.250
12 Ca 0.361 0.247 0.750
13 Ge 0.376 0.250 0.000
14 Ge 0.624 0.750 0.500
15 Ge 0.624 0.750 0.000
16 Ge 0.376 0.250 0.500
17 Ge 0.853 0.405 0.250
18 Ge 0.147 0.595 0.750
19 Ge 0.147 0.905 0.250
20 Ge 0.853 0.095 0.750
21 Pt 0.629 0.468 0.090
22 Pt 0.371 0.532 0.590
23 Pt 0.371 0.968 0.410
24 Pt 0.629 0.032 0.910
25 Pt 0.371 0.532 0.910
26 Pt 0.629 0.468 0.410
27 Pt 0.629 0.032 0.590
28 Pt 0.371 0.968 0.090